Entry 1:
The following is a DFT calculation (SCAN) of TiAlNiO2 at its PBEsol-relaxed geometry.

Cell lengths 3.6281, 3.6281, 6.2579 Å; angles 90.00, 90.00, 90.00 degrees
Positions (direct):
Ni1 0.5000 0.5000 0.5000
Al1 0.0000 0.0000 0.5000
O1 0.0000 0.5000 0.0000
O2 0.5000 0.0000 0.0000
Ti1 0.0000 0.0000 0.0000

Computed properties:
E_form (uncorrected) = -4.73 eV per formula unit

***

Entry 2:
The following is a DFT calculation (SCAN) of Be2S2N at its PBEsol-relaxed geometry.

Cell lengths 4.0426, 4.0426, 5.8676 Å; angles 110.15, 110.15, 90.00 degrees
Last column: magnetic moment on the atom in μB.
Positions (direct):
Be1 0.1540 0.1540 0.3080  -0.04
Be2 0.8460 0.8460 0.6920  -0.04
S1 0.2500 0.7500 0.5000  0.13
S2 0.7500 0.2500 0.5000  0.13
N1 0.0000 0.0000 0.0000  1.06

Computed properties:
E_form (uncorrected) = 0.14 eV per formula unit

***

Entry 3:
The following is a DFT calculation (SCAN) of TcMo2Cl at its PBEsol-relaxed geometry.

Cell lengths 2.9264, 2.9264, 6.8553 Å; angles 90.00, 90.00, 90.00 degrees
Positions (direct):
Mo1 0.0000 0.0000 0.9935
Mo2 0.5000 0.5000 0.2605
Tc1 0.0000 0.0000 0.4886
Cl1 0.5000 0.5000 0.7574

Computed properties:
E_form (uncorrected) = 1.44 eV per formula unit
ΔE to the lowest computed polymorph = 54 meV/atom

***

Entry 4:
The following is a DFT calculation (SCAN) of MnPO2F at its PBEsol-relaxed geometry.

Cell lengths 3.4386, 3.4386, 4.7529 Å; angles 90.00, 90.00, 90.00 degrees
Positions (direct):
P1 0.0000 0.0000 0.5000
Mn1 0.0000 0.0000 0.0000
O1 0.0000 0.5000 0.0000
O2 0.5000 0.0000 0.0000
F1 0.5000 0.5000 0.5000

Computed properties:
E_form (uncorrected) = -3.92 eV per formula unit

***

Entry 5:
The following is a DFT calculation (SCAN) of FeHgRu2 at its PBEsol-relaxed geometry.

Cell lengths 2.7426, 2.7426, 8.9417 Å; angles 81.18, 81.18, 60.00 degrees
Last column: magnetic moment on the atom in μB.
Positions (direct):
Fe1 0.5000 0.5000 0.5000  2.90
Hg1 0.0000 0.0000 0.0000  -0.01
Ru1 0.2401 0.2401 0.2796  -0.04
Ru2 0.7599 0.7599 0.7204  -0.04

Computed properties:
formation energy from the elements = 0.40 eV per atom

***

Entry 6:
The following is a DFT calculation (SCAN) of Al2InGa2 at its PBEsol-relaxed geometry.

Cell lengths 2.8573, 8.1015, 8.1015 Å; angles 90.00, 90.00, 90.00 degrees
Positions (direct):
Al1 0.5000 0.1390 0.6390
Al2 0.5000 0.6390 0.8610
Al3 0.5000 0.8610 0.3610
Al4 0.5000 0.3610 0.1390
Ga1 0.0000 0.3444 0.8444
Ga2 0.0000 0.8444 0.6556
Ga3 0.0000 0.6556 0.1556
Ga4 0.0000 0.1556 0.3444
In1 0.0000 0.0000 0.0000
In2 0.0000 0.5000 0.5000

Computed properties:
formation energy from the elements = 0.08 eV per atom